Arrangement P

Tb3Ho6Sc2 | Alexandria | PBE-GGA | relaxed; crystal system = tetragonal
1.0
-2.3434 2.3434 15.9420
2.3434 -2.3434 15.9420
2.3434 2.3434 -15.9420
Tb Ho Sc
3 6 2
Direct
0.0000 0.0000 0.0000
0.1993 0.1993 0.0000
0.8007 0.8007 0.0000
0.1162 0.6162 0.5000
0.3065 0.3065 0.0000
0.3838 0.8838 0.5000
0.6162 0.1162 0.5000
0.6935 0.6935 0.0000
0.8838 0.3838 0.5000
0.4563 0.4563 0.0000
0.5437 0.5437 0.0000

Arrangement Q

Tb3Ho6Sc2 | Alexandria | PBE-GGA | relaxed; crystal system = trigonal
1.0
1.7483 1.0094 31.1215
-1.7483 1.0094 31.1215
0.0000 -2.0188 31.1215
Tb Ho Sc
3 6 2
Direct
0.0000 0.0000 0.0000
0.2713 0.2713 0.2713
0.7287 0.7287 0.7287
0.0933 0.0933 0.0933
0.1823 0.1823 0.1823
0.3644 0.3644 0.3644
0.6356 0.6356 0.6356
0.8177 0.8177 0.8177
0.9067 0.9067 0.9067
0.4555 0.4555 0.4555
0.5445 0.5445 0.5445

What is the stability order? It is arrangement Q, arrangement P, from most stable to least stable.

Arrangement P

Tb7Ho3Sc | Alexandria | PBE-GGA | relaxed; crystal system = monoclinic
1.0
6.2408 -5.5793 0.0000
6.2408 5.5793 0.0000
-2.6068 0.0000 5.0742
Tb Ho Sc
7 3 1
Direct
0.0000 0.0000 0.0000
0.0989 0.5181 0.3083
0.2859 0.2859 0.7849
0.4819 0.9011 0.6917
0.5181 0.0989 0.3083
0.7141 0.7141 0.2151
0.9011 0.4819 0.6917
0.2954 0.7046 0.0000
0.5000 0.5000 0.5000
0.7046 0.2954 0.0000
0.0000 0.0000 0.5000

Arrangement Q

Tb7Ho3Sc | Alexandria | PBE-GGA | relaxed; crystal system = monoclinic
1.0
3.4545 -9.0965 0.0000
3.4545 9.0965 0.0000
-0.0430 0.0000 11.1086
Tb Ho Sc
14 6 2
Direct
0.0881 0.4083 0.0283
0.0914 0.4117 0.4713
0.1636 0.3354 0.7499
0.2510 0.2510 0.2500
0.3354 0.1636 0.7499
0.4083 0.0881 0.0283
0.4117 0.0914 0.4713
0.5883 0.9086 0.5287
0.5917 0.9119 0.9717
0.6646 0.8364 0.2501
0.7490 0.7490 0.7500
0.8364 0.6646 0.2501
0.9086 0.5883 0.5287
0.9119 0.5917 0.9717
0.0000 0.0000 0.5000
0.2501 0.7498 0.2497
0.2502 0.7499 0.7503
0.5000 0.5000 0.0000
0.7498 0.2501 0.2497
0.7499 0.2502 0.7503
0.0000 0.0000 0.0000
0.5000 0.5000 0.5000

What is the stability order? It is arrangement Q, arrangement P, from most stable to least stable.

Arrangement P

Tb3HoSc2 | Alexandria | PBE-GGA | relaxed; crystal system = orthorhombic
1.0
7.1639 -4.8341 0.0000
7.1639 4.8341 0.0000
0.0000 0.0000 5.4406
Tb Ho Sc
6 2 4
Direct
0.0938 0.9062 0.7500
0.1114 0.3755 0.2500
0.3755 0.1114 0.7500
0.6245 0.8886 0.2500
0.8886 0.6245 0.7500
0.9062 0.0938 0.2500
0.2778 0.7222 0.2500
0.7222 0.2778 0.7500
0.3005 0.4890 0.7500
0.4890 0.3005 0.2500
0.5110 0.6995 0.7500
0.6995 0.5110 0.2500

Arrangement Q

Tb3HoSc2 | Alexandria | PBE-GGA | relaxed; crystal system = monoclinic
1.0
8.5798 -1.7018 0.0000
8.5798 1.7018 0.0000
-6.3724 0.0000 12.2805
Tb Ho Sc
6 2 4
Direct
0.0381 0.0381 0.2155
0.2539 0.2539 0.6980
0.3952 0.3952 0.9734
0.6048 0.6048 0.0266
0.7461 0.7461 0.3020
0.9619 0.9619 0.7845
0.4397 0.4397 0.3564
0.5603 0.5603 0.6436
0.1826 0.1826 0.8825
0.3409 0.3409 0.5329
0.6591 0.6591 0.4671
0.8174 0.8174 0.1175

What is the stability order? It is arrangement Q, arrangement P, from most stable to least stable.

Arrangement P

Tb2Ho3Sc | Alexandria | PBE-GGA | relaxed; crystal system = monoclinic
1.0
8.5510 -3.4938 0.0000
8.5510 3.4938 0.0000
-0.0073 0.0000 6.0511
Tb Ho Sc
4 6 2
Direct
0.0392 0.2911 0.4150
0.2911 0.0392 0.9150
0.7089 0.9608 0.0850
0.9608 0.7089 0.5850
0.1281 0.8719 0.2500
0.2129 0.4600 0.0798
0.4600 0.2129 0.5798
0.5400 0.7871 0.4202
0.7871 0.5400 0.9202
0.8719 0.1281 0.7500
0.3773 0.6227 0.7500
0.6227 0.3773 0.2500

Arrangement Q

Tb2Ho3Sc | Alexandria | PBE-GGA | relaxed; crystal system = monoclinic
1.0
8.7106 -1.7134 0.0000
8.7106 1.7134 0.0000
-6.4041 0.0000 12.3801
Tb Ho Sc
4 6 2
Direct
0.1554 0.1554 0.4699
0.3203 0.3203 0.1206
0.6797 0.6797 0.8794
0.8446 0.8446 0.5301
0.0990 0.0990 0.0260
0.2408 0.2408 0.2931
0.4627 0.4627 0.7831
0.5373 0.5373 0.2169
0.7592 0.7592 0.7069
0.9010 0.9010 0.9740
0.0631 0.0631 0.6414
0.9369 0.9369 0.3586

What is the stability order? It is arrangement P, arrangement Q, from most stable to least stable.

Arrangement P

Tb7Ho2Sc2 | Alexandria | PBE-GGA | relaxed; crystal system = triclinic
1.0
3.6200 0.0000 0.0000
-0.0130 8.8745 0.0000
-1.8059 -2.7310 10.4798
Tb Ho Sc
7 2 2
Direct
0.0000 0.0000 0.0000
0.2946 0.4033 0.5866
0.3490 0.8277 0.7011
0.4283 0.2445 0.8541
0.5717 0.7555 0.1459
0.6510 0.1723 0.2989
0.7054 0.5967 0.4134
0.0664 0.4131 0.1335
0.9336 0.5869 0.8665
0.1996 0.8975 0.4003
0.8004 0.1025 0.5997

Arrangement Q

Tb7Ho2Sc2 | Alexandria | PBE-GGA | relaxed; crystal system = orthorhombic
1.0
-1.7959 8.8095 5.4761
1.7959 -8.8095 5.4761
1.7959 8.8095 -5.4761
Tb Ho Sc
7 2 2
Direct
0.0000 0.0000 0.0000
0.0413 0.7287 0.3126
0.3385 0.4913 0.8472
0.4162 0.7287 0.6874
0.6334 0.2720 0.3614
0.6441 0.4913 0.1528
0.9106 0.2720 0.6386
0.3538 0.8538 0.5000
0.6516 0.6516 0.0000
0.1818 0.9877 0.1941
0.7936 0.9877 0.8059

What is the stability order? It is arrangement P, arrangement Q, from most stable to least stable.

Arrangement P

Tb3Ho5Sc2 | Alexandria | PBE-GGA | relaxed; crystal system = orthorhombic
1.0
-4.5388 10.7156 3.3286
4.5388 -10.7156 3.3286
4.5388 10.7156 -3.3286
Tb Ho Sc
6 10 4
Direct
0.1262 0.2490 0.3752
0.2500 0.2500 0.0000
0.3738 0.7490 0.1228
0.6262 0.2510 0.8772
0.7500 0.7500 0.0000
0.8738 0.7510 0.6248
0.0072 0.2500 0.7572
0.1298 0.6036 0.7335
0.2500 0.7500 0.5000
0.3702 0.1036 0.4738
0.4928 0.2500 0.2428
0.5072 0.7500 0.7572
0.6298 0.8964 0.5262
0.7500 0.2500 0.5000
0.8702 0.3964 0.2665
0.9928 0.7500 0.2428
0.1207 0.9178 0.0385
0.3793 0.4178 0.7970
0.6207 0.5822 0.2030
0.8793 0.0822 0.9615

Arrangement Q

Tb3Ho5Sc2 | Alexandria | PBE-GGA | relaxed; crystal system = triclinic
1.0
9.2017 0.0000 0.0000
-3.9353 8.3210 0.0000
-2.6301 -4.1623 7.7929
Tb Ho Sc
6 10 4
Direct
0.0261 0.0776 0.3497
0.1778 0.5259 0.4523
0.2283 0.6767 0.1499
0.7717 0.3233 0.8501
0.8222 0.4741 0.5477
0.9739 0.9224 0.6503
0.0751 0.2267 0.0515
0.1284 0.3779 0.7503
0.3251 0.9768 0.5518
0.3785 0.1286 0.2497
0.4266 0.2749 0.9524
0.5734 0.7251 0.0476
0.6215 0.8714 0.7503
0.6749 0.0232 0.4482
0.8716 0.6221 0.2497
0.9249 0.7733 0.9485
0.2789 0.8286 0.8522
0.4763 0.4262 0.6487
0.5237 0.5738 0.3513
0.7211 0.1714 0.1478

What is the stability order? It is arrangement Q, arrangement P, from most stable to least stable.

Arrangement P

TbHo3Sc2 | Alexandria | PBE-GGA | relaxed; crystal system = orthorhombic
1.0
7.1270 -4.8292 0.0000
7.1270 4.8292 0.0000
0.0000 0.0000 5.4269
Tb Ho Sc
2 6 4
Direct
0.2243 0.7757 0.7500
0.7757 0.2243 0.2500
0.1270 0.3895 0.2500
0.3895 0.1270 0.7500
0.4059 0.5941 0.2500
0.5941 0.4059 0.7500
0.6105 0.8730 0.2500
0.8730 0.6105 0.7500
0.0126 0.2002 0.7500
0.2002 0.0126 0.2500
0.7998 0.9874 0.7500
0.9874 0.7998 0.2500

Arrangement Q

TbHo3Sc2 | Alexandria | PBE-GGA | relaxed; crystal system = monoclinic
1.0
11.2527 -1.6881 0.0000
11.2527 1.6881 0.0000
-3.0242 0.0000 9.3684
Tb Ho Sc
2 6 4
Direct
0.1848 0.1848 0.0441
0.8152 0.8152 0.9559
0.0596 0.0596 0.4340
0.1971 0.1971 0.7081
0.4313 0.4313 0.2284
0.5687 0.5687 0.7716
0.8029 0.8029 0.2919
0.9404 0.9404 0.5660
0.1918 0.1918 0.3732
0.4288 0.4288 0.8611
0.5712 0.5712 0.1389
0.8082 0.8082 0.6268

What is the stability order? It is arrangement Q, arrangement P, from most stable to least stable.

Arrangement P

TbHo6Sc | Alexandria | PBE-GGA | relaxed; crystal system = trigonal
1.0
5.6755 3.2767 2.2204
-5.6755 3.2767 2.2204
0.0000 -6.5535 2.2204
Tb Ho Sc
1 6 1
Direct
0.0000 0.0000 0.0000
0.2511 0.2511 0.7382
0.2511 0.7382 0.2511
0.2618 0.7489 0.7489
0.7382 0.2511 0.2511
0.7489 0.2618 0.7489
0.7489 0.7489 0.2618
0.5000 0.5000 0.5000

Arrangement Q

TbHo6Sc | Alexandria | PBE-GGA | relaxed; crystal system = triclinic
1.0
6.4323 0.0000 0.0000
-0.2087 6.6740 0.0000
-1.4920 -3.2276 5.7551
Tb Ho Sc
1 6 1
Direct
0.0000 0.0000 0.0000
0.2381 0.5837 0.4927
0.2528 0.5581 0.0053
0.2732 0.0964 0.5331
0.7268 0.9036 0.4669
0.7472 0.4419 0.9947
0.7619 0.4163 0.5073
0.5000 0.0000 0.0000

What is the stability order? It is arrangement Q, arrangement P, from most stable to least stable.

Arrangement P

TbHoThSc | Alexandria | PBE-GGA | relaxed; crystal system = trigonal
1.0
1.7653 1.0192 11.0979
-1.7653 1.0192 11.0979
0.0000 -2.0384 11.0979
Tb Ho Th Sc
1 1 1 1
Direct
0.0000 0.0000 0.0000
0.7539 0.7539 0.7539
0.1715 0.1715 0.1715
0.5847 0.5847 0.5847

Arrangement Q

TbHoThSc | Alexandria | PBE-GGA | relaxed; crystal system = cubic
1.0
0.0000 3.9171 3.9171
3.9171 0.0000 3.9171
3.9171 3.9171 0.0000
Tb Ho Th Sc
1 1 1 1
Direct
0.0000 0.0000 0.0000
0.7500 0.7500 0.7500
0.5000 0.5000 0.5000
0.2500 0.2500 0.2500

What is the stability order? It is arrangement P, arrangement Q, from most stable to least stable.

Arrangement P

TbHoTmSc | Alexandria | PBE-GGA | relaxed; crystal system = cubic
1.0
0.0000 3.8942 3.8942
3.8942 0.0000 3.8942
3.8942 3.8942 0.0000
Tb Ho Tm Sc
1 1 1 1
Direct
0.0000 0.0000 0.0000
0.5000 0.5000 0.5000
0.2500 0.2500 0.2500
0.7500 0.7500 0.7500

Arrangement Q

TbHoTmSc | Alexandria | PBE-GGA | relaxed; crystal system = tetragonal
1.0
-2.4534 2.4534 4.8589
2.4534 -2.4534 4.8589
2.4534 2.4534 -4.8589
Tb Ho Tm Sc
1 1 1 1
Direct
0.0000 0.0000 0.0000
0.7500 0.2500 0.5000
0.2500 0.7500 0.5000
0.5000 0.5000 0.0000

What is the stability order? It is arrangement Q, arrangement P, from most stable to least stable.

Arrangement P

TbYHoSc | Alexandria | PBE-GGA | relaxed; crystal system = orthorhombic
1.0
-1.8851 2.7921 5.7289
1.8851 -2.7921 5.7289
1.8851 2.7921 -5.7289
Tb Y Ho Sc
1 1 1 1
Direct
0.0000 0.0000 0.0000
0.7272 0.2272 0.5000
0.4581 0.4581 0.0000
0.2299 0.7299 0.5000

Arrangement Q

TbYHoSc | Alexandria | PBE-GGA | relaxed; crystal system = cubic
1.0
0.0000 3.9203 3.9203
3.9203 0.0000 3.9203
3.9203 3.9203 0.0000
Tb Y Ho Sc
1 1 1 1
Direct
0.0000 0.0000 0.0000
0.5000 0.5000 0.5000
0.7500 0.7500 0.7500
0.2500 0.2500 0.2500

What is the stability order? It is arrangement P, arrangement Q, from most stable to least stable.